First-principles (PBEsol) data for Mg3Te5 after structural relaxation, as listed in Alexandria.

Computed properties:
For the total energy, the calculation gives -3.18 eV per atom. The space-group type is No. 123. Its theoretical density is 5.576 g/cm3. The calculation puts the uncorrected formation energy at -0.328 eV per atom.

extended XYZ file:
```
8
Lattice="3.8872 0.0000 0.0000 0.0000 3.8872 0.0000 0.0000 0.0000 14.0098" Properties=species:S:1:pos:R:3 pbc="T T T"
Mg 0.0000 0.0000 0.0000
Mg 1.9436 1.9436 5.1039
Mg 1.9436 1.9436 8.9059
Te 0.0000 0.0000 3.9488
Te 0.0000 0.0000 7.0049
Te 0.0000 0.0000 10.0610
Te 1.9436 1.9436 1.4770
Te 1.9436 1.9436 12.5328
```